# CoP3, relaxed, DFT PBEsol
data_CoP3
_chemical_formula_sum 'Co1 P3'
_symmetry_space_group_name_H-M 'P 1'
_symmetry_Int_Tables_number 1
_symmetry_space_group_name_Hall 'P 1'
_cell_length_a 3.495
_cell_length_b 4.202
_cell_length_c 4.304
_cell_angle_alpha 60.78
_cell_angle_beta 90.00
_cell_angle_gamma 90.00
loop_
_atom_site_label
_atom_site_fract_x
_atom_site_fract_y
_atom_site_fract_z
P1 0.500 0.813 0.374
P2 0.500 0.187 0.626
Co1 0.000 0.000 0.000
P3 0.000 0.500 0.000
# - Polymorph energy (0 for the lowest one): 0.457 eV per atom
# - Energy of formation: -0.13 eV/atom